Record 1
# NdErAg GGA-PBE relaxed
data_NdErAg
_chemical_formula_sum 'Nd2 Er2 Ag2'
_cell_length_a 5.081
_cell_length_b 5.091
_cell_length_c 7.199
_cell_angle_alpha 90.00
_cell_angle_beta 90.00
_cell_angle_gamma 90.00
_symmetry_space_group_name_H-M 'I m m 2'
_symmetry_Int_Tables_number 44
loop_
_symmetry_equiv_pos_as_xyz
'x,y,z'
'-x,-y,z'
'-x,y,z'
'x,-y,z'
'x+1/2,y+1/2,z+1/2'
'-x+1/2,-y+1/2,z+1/2'
'-x+1/2,y+1/2,z+1/2'
'x+1/2,-y+1/2,z+1/2'
loop_
_atom_site_label
_atom_site_fract_x
_atom_site_fract_y
_atom_site_fract_z
_atom_site_occupancy
Nd1 0.000 0.000 0.000 1
Er1 0.000 0.000 0.500 1
Ag1 0.000 0.500 0.750 1
# Final energy (eV per atom): -4.00
# Relative energy among the computed polymorphs (kJ/mol of formula units): 67
# ΔH_f (0 K) (meV/atom): 64



Record 2
# Hf2TiGe GGA-PBE relaxed
data_Hf2TiGe
_chemical_formula_sum 'Hf8 Ti4 Ge4'
_cell_length_a 7.709
_cell_length_b 7.709
_cell_length_c 5.505
_cell_angle_alpha 90.00
_cell_angle_beta 90.00
_cell_angle_gamma 90.00
_symmetry_space_group_name_H-M 'I -4 2 d'
_symmetry_Int_Tables_number 122
_symmetry_space_group_name_Hall 'I -4 2bw'
loop_
_atom_site_label
_atom_site_fract_x
_atom_site_fract_y
_atom_site_fract_z
_atom_site_occupancy
Hf1 0.226 0.250 0.125 1
Ti1 0.000 0.000 0.500 1
Ge1 0.000 0.000 0.000 1
# Final energy (eV per atom): -7.93
# ΔH_f (0 K) (meV/atom): 172



Record 3
# AcSc2Ru GGA-PBE relaxed
data_AcSc2Ru
_chemical_formula_sum 'Ac1 Sc2 Ru1'
_cell_length_a 3.371
_cell_length_b 3.371
_cell_length_c 8.720
_cell_angle_alpha 90.00
_cell_angle_beta 90.00
_cell_angle_gamma 90.00
_symmetry_space_group_name_H-M 'P 4/m m m'
_symmetry_Int_Tables_number 123
_symmetry_space_group_name_Hall '-P 4 2'
loop_
_atom_site_label
_atom_site_fract_x
_atom_site_fract_y
_atom_site_fract_z
_atom_site_occupancy
Ac1 0.000 0.000 0.000 1
Sc1 0.500 0.500 0.330 1
Ru1 0.000 0.000 0.500 1
# Final energy (eV per atom): -6.75
# Relative energy among the computed polymorphs (kJ/mol of formula units): 0
# ΔH_f (0 K) (meV/atom): -237



Record 4
# ScAg2Cl GGA-PBE relaxed
data_ScAg2Cl
_chemical_formula_sum 'Sc3 Ag6 Cl3'
_cell_length_a 3.4016
_cell_length_b 3.4016
_cell_length_c 27.3733
_cell_angle_alpha 90.00
_cell_angle_beta 90.00
_cell_angle_gamma 120.00
_symmetry_space_group_name_H-M 'R 3 m'
_symmetry_Int_Tables_number 160
_symmetry_space_group_name_Hall 'R 3 -2"'
loop_
_atom_site_label
_atom_site_fract_x
_atom_site_fract_y
_atom_site_fract_z
_atom_site_occupancy
Sc1 0.0000 0.0000 0.0000 1
Ag1 0.0000 0.0000 0.4836 1
Ag2 0.0000 0.0000 0.7416 1
Cl1 0.0000 0.0000 0.2727 1
# Raw formation energy (eV/atom): -0.54
# Final energy (eV per atom): -4.01
# Relative energy among the computed polymorphs (kJ/mol of formula units): 7



Record 5
# TbPrTlCd GGA-PBE relaxed
data_TbPrTlCd
_chemical_formula_sum 'Tb4 Pr4 Tl4 Cd4'
_cell_length_a 7.703
_cell_length_b 7.703
_cell_length_c 7.703
_cell_angle_alpha 90.00
_cell_angle_beta 90.00
_cell_angle_gamma 90.00
_symmetry_space_group_name_H-M 'F -4 3 m'
_symmetry_Int_Tables_number 216
_symmetry_space_group_name_Hall 'F -4 2 3'
loop_
_atom_site_label
_atom_site_fract_x
_atom_site_fract_y
_atom_site_fract_z
_atom_site_occupancy
Tb1 0.000 0.000 0.000 1
Pr1 0.000 0.000 0.500 1
Tl1 0.250 0.250 0.250 1
Cd1 0.250 0.250 0.750 1
# Final energy (eV per atom): -3.52
# ΔH_f (0 K) (meV/atom): -349



Record 6
# Ac2La2SmY GGA-PBE relaxed
data_Ac2La2SmY
_chemical_formula_sum 'Ac4 La4 Sm2 Y2'
_cell_length_a 6.767
_cell_length_b 7.283
_cell_length_c 9.391
_cell_angle_alpha 90.00
_cell_angle_beta 95.61
_cell_angle_gamma 90.00
_symmetry_space_group_name_H-M 'P 1 21/m 1'
_symmetry_Int_Tables_number 11
loop_
_symmetry_equiv_pos_as_xyz
'x,y,z'
'-x,-y,-z'
'-x,y+1/2,-z'
'x,-y+1/2,z'
loop_
_atom_site_label
_atom_site_fract_x
_atom_site_fract_y
_atom_site_fract_z
_atom_site_occupancy
Ac1 0.183 0.000 0.176 1
La1 0.090 0.250 0.517 1
La2 0.411 0.750 0.506 1
Sm1 0.307 0.750 0.846 1
Y1 0.340 0.250 0.854 1
# Final energy (eV per atom): -4.73
# ΔH_f (0 K) (meV/atom): 141



Record 7
# CaNpCuS4 GGA-PBE relaxed
data_CaNpCuS4
_chemical_formula_sum 'Ca2 Np2 Cu2 S8'
_cell_length_a 6.703
_cell_length_b 5.474
_cell_length_c 8.052
_cell_angle_alpha 90.00
_cell_angle_beta 107.44
_cell_angle_gamma 90.00
_symmetry_space_group_name_H-M 'P 1 21/m 1'
_symmetry_Int_Tables_number 11
loop_
_symmetry_equiv_pos_as_xyz
'x,y,z'
'-x,-y,-z'
'-x,y+1/2,-z'
'x,-y+1/2,z'
loop_
_atom_site_label
_atom_site_fract_x
_atom_site_fract_y
_atom_site_fract_z
_atom_site_occupancy
Ca1 0.223 0.250 0.436 1
Np1 0.238 0.250 0.936 1
Cu1 0.254 0.750 0.190 1
S1 0.061 0.750 0.375 1
S2 0.074 0.750 0.904 1
S3 0.478 0.516 0.760 1
# Raw formation energy (eV/atom): -1.17
# Final energy (eV per atom): -6.25



Record 8
# LiTa3Ag GGA-PBE relaxed
data_LiTa3Ag
_chemical_formula_sum 'Li1 Ta3 Ag1'
_cell_length_a 4.952
_cell_length_b 4.952
_cell_length_c 4.952
_cell_angle_alpha 90.00
_cell_angle_beta 90.00
_cell_angle_gamma 90.00
_symmetry_space_group_name_H-M 'P m -3 m'
_symmetry_Int_Tables_number 221
_symmetry_space_group_name_Hall '-P 4 2 3'
loop_
_atom_site_label
_atom_site_fract_x
_atom_site_fract_y
_atom_site_fract_z
_atom_site_occupancy
Li1 0.000 0.000 0.000 1
Ta1 0.000 0.500 0.500 1
Ag1 0.500 0.500 0.500 1
# Final energy (eV per atom): -6.01
# Relative energy among the computed polymorphs (kJ/mol of formula units): 409
# ΔH_f (0 K) (meV/atom): 2057



Record 9
# ScNiN2 GGA-PBE relaxed
data_ScNiN2
_chemical_formula_sum 'Sc3 Ni3 N6'
_cell_length_a 3.0949
_cell_length_b 3.0949
_cell_length_c 17.4135
_cell_angle_alpha 90.00
_cell_angle_beta 90.00
_cell_angle_gamma 120.00
_symmetry_space_group_name_H-M 'R -3 m'
_symmetry_Int_Tables_number 166
_symmetry_space_group_name_Hall '-R 3 2"'
loop_
_atom_site_label
_atom_site_fract_x
_atom_site_fract_y
_atom_site_fract_z
_atom_site_occupancy
Sc1 0.0000 0.0000 0.0000 1
Ni1 0.0000 0.0000 0.5000 1
N1 0.0000 0.0000 0.1181 1
# Raw formation energy (eV/atom): 0.40
# Final energy (eV per atom): -6.79
# Relative energy among the computed polymorphs (kJ/mol of formula units): 318



Record 10
# Sc2InRu GGA-PBE relaxed
data_Sc2InRu
_chemical_formula_sum 'Sc6 In3 Ru3'
_cell_length_a 3.2727
_cell_length_b 3.2727
_cell_length_c 26.6010
_cell_angle_alpha 90.00
_cell_angle_beta 90.00
_cell_angle_gamma 120.00
_symmetry_space_group_name_H-M 'R -3 m'
_symmetry_Int_Tables_number 166
_symmetry_space_group_name_Hall '-R 3 2"'
loop_
_atom_site_label
_atom_site_fract_x
_atom_site_fract_y
_atom_site_fract_z
_atom_site_occupancy
Sc1 0.0000 0.0000 0.2372 1
In1 0.0000 0.0000 0.0000 1
Ru1 0.0000 0.0000 0.5000 1
# Final energy (eV per atom): -6.51
# ΔH_f (0 K) (meV/atom): -344



Record 11
# SnIrPb3 GGA-PBE relaxed
data_SnIrPb3
_chemical_formula_sum 'Sn1 Ir1 Pb3'
_cell_length_a 5.345
_cell_length_b 5.345
_cell_length_c 5.345
_cell_angle_alpha 90.00
_cell_angle_beta 90.00
_cell_angle_gamma 90.00
_symmetry_space_group_name_H-M 'P m -3 m'
_symmetry_Int_Tables_number 221
_symmetry_space_group_name_Hall '-P 4 2 3'
loop_
_atom_site_label
_atom_site_fract_x
_atom_site_fract_y
_atom_site_fract_z
_atom_site_occupancy
Sn1 0.000 0.000 0.000 1
Ir1 0.500 0.500 0.500 1
Pb1 0.000 0.500 0.500 1
# Final energy (eV per atom): -4.50
# Relative energy among the computed polymorphs (kJ/mol of formula units): 0
# ΔH_f (0 K) (meV/atom): 293



Record 12
# CaGe3S GGA-PBE relaxed
data_CaGe3S
_chemical_formula_sum 'Ca1 Ge3 S1'
_cell_length_a 5.461
_cell_length_b 5.461
_cell_length_c 5.461
_cell_angle_alpha 90.00
_cell_angle_beta 90.00
_cell_angle_gamma 90.00
_symmetry_space_group_name_H-M 'P m -3 m'
_symmetry_Int_Tables_number 221
_symmetry_space_group_name_Hall '-P 4 2 3'
loop_
_atom_site_label
_atom_site_fract_x
_atom_site_fract_y
_atom_site_fract_z
_atom_site_occupancy
Ca1 0.000 0.000 0.000 1
Ge1 0.000 0.000 0.500 1
S1 0.500 0.500 0.500 1
# Raw formation energy (eV/atom): 1.24
# Final energy (eV per atom): -2.76
# Relative energy among the computed polymorphs (kJ/mol of formula units): 536